Record 1
A plane-wave DFT calculation with GGA-PBE was carried out for an optimized crystal structure of CaPrCuGe. Values from VASP.

```
&SYSTEM
  ibrav = 0, nat = 4, ntyp = 4
/
ATOMIC_SPECIES
Pr 140.91 Pr.upf
Ge 72.64 Ge.upf
Ca 40.08 Ca.upf
Cu 63.55 Cu.upf
CELL_PARAMETERS angstrom
5.137 0.000 0.000
2.568 4.448 0.000
2.568 1.483 4.194
ATOMIC_POSITIONS crystal
Pr 0.000 0.000 0.000
Ge 0.750 0.750 0.750
Ca 0.500 0.500 0.500
Cu 0.250 0.250 0.250
```

The calculation puts the calculated volume at 95.83 Å³/cell. The value obtained for the formation energy is -0.441 eV/atom. Its energy is -4.3149 eV per atom. As for the theoretical density: 5.50 g cm⁻³.

---

Record 2
A plane-wave DFT calculation with GGA-PBE was carried out for an optimized crystal structure of Ca2PrCu2Ge2. Values from VASP.

```
&SYSTEM
  ibrav = 0, nat = 7, ntyp = 4
/
ATOMIC_SPECIES
Ca 40.08 Ca.upf
Pr 140.91 Pr.upf
Cu 63.55 Cu.upf
Ge 72.64 Ge.upf
CELL_PARAMETERS angstrom
-2.808 -3.031 1.028
1.279 -4.042 0.394
1.623 -0.616 11.430
ATOMIC_POSITIONS crystal
Ca 0.115 0.115 0.654
Ca 0.885 0.885 0.346
Pr 0.000 0.000 0.000
Cu 0.606 0.606 0.182
Cu 0.394 0.394 0.818
Ge 0.726 0.726 0.822
Ge 0.274 0.274 0.178
```

The calculation puts the calculated volume at 177.37 Å³/cell. The value obtained for the formation energy is -0.502 eV/atom. Its energy is -4.2459 eV per atom. As for the theoretical density: 4.62 g cm⁻³.

---

Record 3
A plane-wave DFT calculation with GGA-PBE was carried out for an optimized crystal structure of CaPr2Cu3Ge4. Values from VASP.

```
&SYSTEM
  ibrav = 0, nat = 10, ntyp = 4
/
ATOMIC_SPECIES
Ca 40.08 Ca.upf
Pr 140.91 Pr.upf
Cu 63.55 Cu.upf
Ge 72.64 Ge.upf
CELL_PARAMETERS angstrom
4.322 0.000 0.000
0.000 4.322 0.000
0.000 0.000 10.961
ATOMIC_POSITIONS crystal
Ca 0.500 0.500 0.500
Pr 0.500 0.000 0.224
Pr 0.000 0.500 0.776
Cu 0.000 0.000 0.500
Cu 0.500 0.000 0.886
Cu 0.000 0.500 0.114
Ge 0.500 0.500 0.000
Ge 0.000 0.000 0.000
Ge 0.500 0.000 0.666
Ge 0.000 0.500 0.334
```

The calculation puts the calculated volume at 204.76 Å³/cell. The value obtained for the formation energy is -0.459 eV/atom. Its energy is -4.6907 eV per atom. As for the theoretical density: 6.51 g cm⁻³.

---

Record 4
A plane-wave DFT calculation with GGA-PBE was carried out for an optimized crystal structure of Ca2CuGe2Pt5. Values from VASP.

```
&SYSTEM
  ibrav = 0, nat = 20, ntyp = 4
/
ATOMIC_SPECIES
Ca 40.08 Ca.upf
Cu 63.55 Cu.upf
Ge 72.64 Ge.upf
Pt 195.08 Pt.upf
CELL_PARAMETERS angstrom
3.483 0.000 0.000
0.000 10.072 0.000
0.000 0.000 10.072
ATOMIC_POSITIONS crystal
Ca 0.000 0.673 0.173
Ca 0.000 0.327 0.827
Ca 0.000 0.173 0.327
Ca 0.000 0.827 0.673
Cu 0.000 0.000 0.000
Cu 0.000 0.500 0.500
Ge 0.000 0.130 0.630
Ge 0.000 0.870 0.370
Ge 0.000 0.630 0.870
Ge 0.000 0.370 0.130
Pt 0.500 0.197 0.057
Pt 0.500 0.803 0.943
Pt 0.500 0.057 0.803
Pt 0.500 0.697 0.443
Pt 0.500 0.943 0.197
Pt 0.500 0.303 0.557
Pt 0.500 0.557 0.697
Pt 0.500 0.443 0.303
Pt 0.500 0.500 0.000
Pt 0.500 0.000 0.500
```

The calculation puts the calculated volume at 353.27 Å³/cell. The value obtained for the formation energy is -0.624 eV/atom. Its energy is -5.3777 eV per atom. As for the theoretical density: 11.89 g cm⁻³.

---

Record 5
A plane-wave DFT calculation with GGA-PBE was carried out for an optimized crystal structure of CaCuGe2Pt5. Values from VASP.

```
&SYSTEM
  ibrav = 0, nat = 9, ntyp = 4
/
ATOMIC_SPECIES
Ca 40.08 Ca.upf
Cu 63.55 Cu.upf
Ge 72.64 Ge.upf
Pt 195.08 Pt.upf
CELL_PARAMETERS angstrom
-0.609 0.154 -4.022
3.453 -2.070 -0.602
-5.459 -9.243 0.473
ATOMIC_POSITIONS crystal
Ca 0.000 0.000 0.500
Cu 0.000 0.000 0.000
Ge 0.500 0.500 0.275
Ge 0.500 0.500 0.725
Pt 0.000 0.500 0.146
Pt 0.500 0.000 0.146
Pt 0.000 0.500 0.854
Pt 0.500 0.000 0.854
Pt 0.500 0.500 0.500
```

The calculation puts the calculated volume at 178.08 Å³/cell. The value obtained for the formation energy is -0.425 eV/atom. Its energy is -5.4850 eV per atom. As for the theoretical density: 11.42 g cm⁻³.

---

Record 6
A plane-wave DFT calculation with GGA-PBE was carried out for an optimized crystal structure of CaCuGe2Pt. Values from VASP.

```
&SYSTEM
  ibrav = 0, nat = 5, ntyp = 4
/
ATOMIC_SPECIES
Ca 40.08 Ca.upf
Cu 63.55 Cu.upf
Ge 72.64 Ge.upf
Pt 195.08 Pt.upf
CELL_PARAMETERS angstrom
4.268 0.000 0.000
0.000 4.268 0.000
-2.134 -2.134 5.134
ATOMIC_POSITIONS crystal
Ca 0.000 0.000 0.000
Cu 0.750 0.250 0.500
Ge 0.623 0.623 0.247
Ge 0.377 0.377 0.753
Pt 0.250 0.750 0.500
```

The calculation puts the calculated volume at 93.52 Å³/cell. The value obtained for the formation energy is -0.568 eV/atom. Its energy is -4.8429 eV per atom. As for the theoretical density: 7.88 g cm⁻³.

---

Q: Which of these has the lowest calculated volume?
A: CaCuGe2Pt